Here is a relaxed structure of RbBiB3 from Alexandria via LeMat-Bulk. Energies are from GGA-PBE.

V in Å³ per cell: 118
Symmetry: Pm-3m
Fermi-level density of states in states/eV per cell: 2.93
Formation enthalpy at 0 K in eV/atom: 3.072

The structure in POSCAR format:
```
RbBiB3
1.0
4.898 0.000 0.000
0.000 4.898 0.000
0.000 0.000 4.898
Rb Bi B
1 1 3
direct
0.000 0.000 0.000
0.500 0.500 0.500
0.000 0.000 0.500
0.000 0.500 0.000
0.500 0.000 0.000
```